ScV2O4 | GGA+U | optimized geometry

Calculated values
calculated total energy	-8.324	eV per atom

Cell: 8.5818 8.6024 9.0067 Å, 90.00 90.00 90.00°
Space group Fdd2 (No. 43)
Symmetry-distinct sites (fractional):
Sc1 0.0000 0.0000 0.0000 x8
V1 0.1195 0.1195 0.6180 x16
O1 0.1154 0.1150 0.3797 x16
O2 0.1237 0.3766 0.1060 x16